No. 1
DFT (GGA-PBE) results for a geometry-optimized Ac6Tl5I structure.

The structure in POSCAR format:
```
Ac6Tl5I
1.0
5.5540 -0.0054 -1.5572
-4.1348 8.2211 -4.0906
-0.1882 -1.0191 10.0171
I Ac Tl
1 6 5
Cartesian
0.0000 0.0000 0.0000 I
1.5734 3.8831 5.5961 Ac
0.9541 0.2778 3.4079 Ac
-1.8555 5.3761 4.0403 Ac
-0.3424 3.3135 -1.2268 Ac
0.2768 6.9188 0.9613 Ac
3.0864 1.8205 0.3290 Ac
-0.6715 6.6115 -2.4160 Tl
1.9025 0.5850 6.7852 Tl
-1.5006 2.0536 5.3256 Tl
2.7316 5.1429 -0.9564 Tl
0.6155 3.5983 2.1846 Tl
```

Crystal system: orthorhombic
E (eV/cell): -43.1
Density (Mg/m³): 9.81
Raw formation energy (kJ per mole of atoms): -41
Symmetry: Immm (71)


No. 2
DFT (GGA-PBE) results for a geometry-optimized Ac2Pd5Au4 structure.

The structure in POSCAR format:
```
Ac2Pd5Au4
1.0
5.0943 0.0000 2.5583
2.3454 6.4835 1.6808
-0.3699 -0.0251 7.0877
Pd Au Ac
5 4 2
Cartesian
3.5349 3.2292 5.6634 Pd
1.4827 4.8413 6.5742 Pd
5.5871 1.6171 4.7526 Pd
4.0300 4.8413 7.8534 Pd
3.0399 1.6171 3.4734 Pd
3.7354 5.9429 5.2641 Au
2.3350 2.5847 8.0528 Au
4.7348 3.8737 3.2740 Au
3.3344 0.5155 6.0627 Au
1.6426 4.7983 3.0804 Ac
5.4273 1.6600 8.2464 Ac
```

Crystal system: orthorhombic
E (eV/cell): -53.6
Density (Mg/m³): 12.26
E_form (eV per atom): -0.577
Energy relative to the lowest polymorph listed for this composition (meV per atom): 12
Symmetry: Immm (71)